Record 1
Below is a relaxed Ag4TeRh crystal, with properties calculated at the PBE-GGA level.

The structure in CIF format:
```
data_Ag4TeRh
_cell_length_a 7.7336
_cell_length_b 7.7336
_cell_length_c 7.7336
_cell_angle_alpha 90.00
_cell_angle_beta 90.00
_cell_angle_gamma 90.00
_symmetry_space_group_name_H-M 'F -4 3 m'
_symmetry_Int_Tables_number 216
_symmetry_space_group_name_Hall 'F -4 2 3'
loop_
_atom_site_label
_atom_site_type_symbol
_atom_site_fract_x
_atom_site_fract_y
_atom_site_fract_z
Ag1 Ag 0.1244 0.1244 0.1244
Te1 Te 0.0000 0.0000 0.5000
Rh1 Rh 0.2500 0.2500 0.7500
```

Energy relative to the elements, uncorrected (eV/atom): 0.33

Record 2
Below is a relaxed PmEr4Tm7 crystal, with properties calculated at the PBE-GGA level.

The structure in CIF format:
```
data_PmEr4Tm7
_cell_length_a 11.9640
_cell_length_b 5.7741
_cell_length_c 12.4871
_cell_angle_alpha 90.00
_cell_angle_beta 117.95
_cell_angle_gamma 90.00
_symmetry_space_group_name_H-M 'C 1 2/m 1'
_symmetry_Int_Tables_number 12
loop_
_symmetry_equiv_pos_as_xyz
'x,y,z'
'-x,-y,-z'
'-x,y,-z'
'x,-y,z'
'x+1/2,y+1/2,z'
'-x+1/2,-y+1/2,-z'
'-x+1/2,y+1/2,-z'
'x+1/2,-y+1/2,z'
loop_
_atom_site_label
_atom_site_type_symbol
_atom_site_fract_x
_atom_site_fract_y
_atom_site_fract_z
Pm1 Pm 0.0000 0.0000 0.0000
Er1 Er 0.1314 0.5000 0.7743
Er2 Er 0.2479 0.5000 0.3151
Tm1 Tm 0.0000 0.5000 0.0000
Tm2 Tm 0.0579 0.0000 0.3310
Tm3 Tm 0.1360 0.5000 0.5047
Tm4 Tm 0.2114 0.0000 0.9229
```

Formation enthalpy at 0 K (meV/atom): 291
E above lowest polymorph (eV per formula unit): 2.499

Record 3
Below is a relaxed TlAg2Cl4 crystal, with properties calculated at the PBE-GGA level.

The structure in CIF format:
```
data_TlAg2Cl4
_cell_length_a 5.5444
_cell_length_b 5.5444
_cell_length_c 13.1277
_cell_angle_alpha 90.00
_cell_angle_beta 90.00
_cell_angle_gamma 90.00
_symmetry_space_group_name_H-M 'I 4/m m m'
_symmetry_Int_Tables_number 139
_symmetry_space_group_name_Hall '-I 4 2'
loop_
_atom_site_label
_atom_site_type_symbol
_atom_site_fract_x
_atom_site_fract_y
_atom_site_fract_z
Tl1 Tl 0.0000 0.0000 0.0000
Ag1 Ag 0.0000 0.0000 0.3926
Cl1 Cl 0.0000 0.0000 0.2076
Cl2 Cl 0.0000 0.5000 0.0000
```

Energy relative to the elements, uncorrected (eV/atom): -0.39
E above lowest polymorph (eV per formula unit): 1.171

no.,calculated volume (Å³/f.u.)
1,115.6
2,381.0
3,201.8